[1]
The following is a GGA-PBE calculation of a geometry-optimized La9Tb3Pm2 structure, from Alexandria via LeMat-Bulk.

Unit cell a=9.0840 b=9.0840 c=13.9813 alpha=90.00 beta=90.00 gamma=120.00
Closest atoms and distances in Å follow each position.
Space group P6_3/m (No. 176)
Asymmetric unit:
La  0.0771  0.5456  0.2500 x6  2 Tb 3.15-3.37, 4 La 3.39-3.49
La  0.1297  0.7593  0.0428 x12  3 La 3.19-3.39, 1 Pm 3.45
Tb  0.1027  0.8537  0.7500 x6  2 La 3.15-3.37, 2 Tb 3.41
Pm  0.3333  0.6667  0.6353 x4  1 Pm 3.21, 3 La 3.45

Total magnetic moment (μB per atom): 0.000
E_tot (Ha/atom): -0.1703
Energy of formation from the pure elements (eV/atom): 0.2031


[2]
The following is a GGA-PBE calculation of a geometry-optimized LaTb3Pm structure, from Alexandria via LeMat-Bulk.

Unit cell a=6.2560 b=6.2736 c=9.5720 alpha=71.10 beta=70.97 gamma=80.50
Closest atoms and distances in Å follow each position.
Space group P-1 (No. 2)
Asymmetric unit:
La  0.0495  0.2477  0.1514 x2  8 Tb 3.61-3.63, 3 Pm 3.62-3.65, 1 La 3.66
Tb  0.1499  0.7495  0.4503 x2  3 Pm 3.59-3.61, 7 Tb 3.60-3.62, 2 La 3.61-3.62
Tb  0.3522  0.7473  0.0512 x2  5 Tb 3.59-3.65, 3 Pm 3.60-3.66, 4 La 3.61-3.63
Tb  0.4482  0.2501  0.3522 x2  3 Pm 3.57-3.62, 7 Tb 3.60-3.65, 2 La 3.62
Pm  0.2537  0.2513  0.7470 x2  9 Tb 3.57-3.66, 3 La 3.62-3.65

Total magnetic moment (μB per atom): 0.000
E_tot (Ha/atom): -0.1724
Energy of formation from the pure elements (eV/atom): 0.0223


[3]
The following is a GGA-PBE calculation of a geometry-optimized La4TbPm structure, from Alexandria via LeMat-Bulk.

Unit cell a=3.6819 b=5.2485 c=11.0300 alpha=90.00 beta=90.00 gamma=90.00
Closest atoms and distances in Å follow each position.
Space group Pmmm (No. 47)
Asymmetric unit:
La  0.0000  0.0000  0.1681 x2  1 Pm 3.66, 7 La 3.66-3.71, 4 Tb 3.70
La  0.5000  0.5000  0.3285 x2  1 Tb 3.62, 7 La 3.66-3.78, 4 Pm 3.72
Tb  0.5000  0.5000  0.0000 x1  10 La 3.62-3.70, 2 Tb 3.68
Pm  0.0000  0.0000  0.5000 x1  10 La 3.66-3.72, 2 Pm 3.68

Total magnetic moment (μB per atom): 0.000
E_tot (Ha/atom): -0.1775
Energy of formation from the pure elements (eV/atom): 0.0188


[4]
The following is a GGA-PBE calculation of a geometry-optimized La2Tb8Pm3 structure, from Alexandria via LeMat-Bulk.

Unit cell a=21.0302 b=7.7239 c=5.6074 alpha=90.00 beta=90.03 gamma=90.00
Closest atoms and distances in Å follow each position.
Space group C2/m (No. 12)
Asymmetric unit:
La  0.2416  0.0000  0.4988 x4  8 Tb 3.47-3.70, 2 La 3.88
Tb  0.1059  0.2890  0.5003 x8  1 Pm 3.15, 3 Tb 3.26-3.45
Tb  0.1273  0.0000  0.9998 x4  4 Pm 3.51-3.88, 6 Tb 3.61-3.93, 2 La 3.69-3.70
Tb  0.1611  0.5000  0.0007 x4  4 Tb 3.44-3.45, 2 La 3.47, 2 Pm 3.75
Pm  0.0000  0.0000  0.5000 x2  4 Tb 3.15
Pm  0.0000  0.2932  0.0000 x4  1 Pm 3.19, 2 Tb 3.51

Total magnetic moment (μB per atom): 0.000
E_tot (Ha/atom): -0.1640
Energy of formation from the pure elements (eV/atom): 0.2414


[5]
The following is a GGA-PBE calculation of a geometry-optimized La7Tb4Pm structure, from Alexandria via LeMat-Bulk.

Unit cell a=16.4415 b=6.1228 c=9.7013 alpha=90.00 beta=118.44 gamma=90.00
Closest atoms and distances in Å follow each position.
Space group C2/m (No. 12)
Asymmetric unit:
La  0.0000  0.0000  0.0000 x2  2 Pm 3.06, 2 Tb 3.29
La  0.0886  0.5000  0.4568 x4  3 La 3.40-3.70, 3 Tb 3.53-3.60
La  0.2120  0.5000  0.8903 x4  6 La 3.41-3.71, 2 Tb 3.78
La  0.2220  0.5000  0.2497 x4  1 Pm 3.28, 4 Tb 3.29-3.52, 2 La 3.41-3.61
Tb  0.0660  0.0000  0.7026 x4  2 La 3.29-3.53, 2 Tb 3.47-3.58
Tb  0.1678  0.0000  0.3652 x4  7 La 3.29-3.60, 1 Tb 3.58
Pm  0.0000  0.5000  0.0000 x2  4 La 3.06-3.28

Total magnetic moment (μB per atom): 0.019
E_tot (Ha/atom): -0.1697
Energy of formation from the pure elements (eV/atom): 0.1958


[6]
The following is a GGA-PBE calculation of a geometry-optimized La5TbPm3 structure, from Alexandria via LeMat-Bulk.

Unit cell a=9.0727 b=9.0727 c=15.6745 alpha=90.00 beta=90.00 gamma=90.00
Closest atoms and distances in Å follow each position.
Space group I4/mcm (No. 140)
Asymmetric unit:
La  0.0000  0.0000  0.0000 x4  6 Pm 3.64-3.92, 8 La 3.92
La  0.2068  0.2932  0.1397 x16  1 Pm 3.16, 1 Tb 3.17
Tb  0.0000  0.5000  0.2500 x4  4 La 3.17
Pm  0.0000  0.0000  0.2500 x4  10 La 3.69-3.92
Pm  0.1156  0.3844  0.5000 x8  1 Pm 2.97, 2 La 3.16

Total magnetic moment (μB per atom): 0.000
E_tot (Ha/atom): -0.1680
Energy of formation from the pure elements (eV/atom): 0.2629


[7]
The following is a GGA-PBE calculation of a geometry-optimized La3Tb8Pm structure, from Alexandria via LeMat-Bulk.

Unit cell a=8.8311 b=8.8311 c=11.3524 alpha=90.00 beta=90.00 gamma=90.00
Closest atoms and distances in Å follow each position.
Space group I-42m (No. 121)
Asymmetric unit:
La  0.0000  0.0000  0.0000 x2  8 Tb 3.13-3.24
La  0.0000  0.5000  0.2500 x4  4 Tb 3.50
Tb  0.1232  0.1232  0.2513 x8  3 Tb 3.08-3.25, 1 Pm 3.22, 1 La 3.24
Tb  0.2492  0.2492  0.5022 x8  1 Pm 3.11, 1 La 3.13, 2 Tb 3.24-3.25
Pm  0.0000  0.0000  0.5000 x2  8 Tb 3.11-3.22

Total magnetic moment (μB per atom): 0.000
E_tot (Ha/atom): -0.1518
Energy of formation from the pure elements (eV/atom): 0.5833


[8]
The following is a GGA-PBE calculation of a geometry-optimized La5Tb2Pm2 structure, from Alexandria via LeMat-Bulk.

Unit cell a=15.0872 b=11.8785 c=6.9994 alpha=90.00 beta=90.00 gamma=90.00
Closest atoms and distances in Å follow each position.
Space group Ima2 (No. 46)
Asymmetric unit:
La  0.0510  0.2303  0.0000 x8  4 La 3.16-3.53, 1 Tb 3.29, 1 Pm 3.45
La  0.1445  0.7264  0.6602 x8  2 La 3.16-3.18, 2 Tb 3.38-3.52, 1 Pm 3.44
La  0.2500  0.2469  0.1750 x4  4 La 3.25-3.50, 1 Pm 3.31
Tb  0.1290  0.5068  0.3242 x8  3 La 3.29-3.52, 1 Pm 3.61, 1 Tb 3.65
Pm  0.0000  0.0000  0.3546 x4  6 La 3.45-3.77, 2 Pm 3.78, 2 Tb 3.82
Pm  0.2500  0.5043  0.8794 x4  4 La 3.31-3.69, 2 Tb 3.61

Total magnetic moment (μB per atom): 0.000
E_tot (Ha/atom): -0.1705
Energy of formation from the pure elements (eV/atom): 0.1826


[9]
The following is a GGA-PBE calculation of a geometry-optimized La2TbPm4 structure, from Alexandria via LeMat-Bulk.

Unit cell a=12.5712 b=23.5499 c=6.6748 alpha=90.00 beta=90.00 gamma=90.00
Closest atoms and distances in Å follow each position.
Space group Ccce (No. 68, origin choice 2)
Asymmetric unit:
La  0.0000  0.0321  0.2500 x8  4 Tb 3.47-3.84, 6 Pm 3.55-3.73, 2 La 3.66
La  0.1395  0.2500  0.7500 x8  6 Pm 3.37-3.63, 1 La 3.51
Tb  0.2500  0.0000  0.0605 x8  2 Tb 3.34, 4 Pm 3.34-3.63, 2 La 3.47
Pm  0.1210  0.1096  0.8550 x16  2 Tb 3.34-3.63, 4 Pm 3.35-3.68, 3 La 3.39-3.73
Pm  0.1227  0.1664  0.3412 x16  4 Pm 3.32-3.68, 3 La 3.37-3.63

Total magnetic moment (μB per atom): 0.000
E_tot (Ha/atom): -0.1694
Energy of formation from the pure elements (eV/atom): 0.1736


[10]
The following is a GGA-PBE calculation of a geometry-optimized LaTb4Pm15 structure, from Alexandria via LeMat-Bulk.

Unit cell a=5.1500 b=5.1500 c=25.7278 alpha=90.00 beta=90.00 gamma=90.00
Closest atoms and distances in Å follow each position.
Space group P4/mmm (No. 123)
Asymmetric unit:
La  0.0000  0.0000  0.0000 x1  12 Pm 3.64-3.68
Tb  0.0000  0.0000  0.2013 x2  12 Pm 3.62-3.64
Tb  0.0000  0.0000  0.4006 x2  12 Pm 3.63-3.64
Pm  0.0000  0.5000  0.1021 x4  2 Tb 3.62, 8 Pm 3.64-3.68, 2 La 3.68
Pm  0.0000  0.5000  0.3011 x4  8 Pm 3.62-3.64, 4 Tb 3.63-3.64
Pm  0.0000  0.5000  0.5000 x2  8 Pm 3.63-3.64, 4 Tb 3.63
Pm  0.5000  0.5000  0.0000 x1  4 La 3.64, 8 Pm 3.68
Pm  0.5000  0.5000  0.2022 x2  8 Pm 3.62-3.64, 4 Tb 3.64
Pm  0.5000  0.5000  0.4006 x2  8 Pm 3.63, 4 Tb 3.64

Total magnetic moment (μB per atom): 0.000
E_tot (Ha/atom): -0.1734
Energy of formation from the pure elements (eV/atom): 0.0162


[11]
The following is a GGA-PBE calculation of a geometry-optimized La2Tb2Pm3 structure, from Alexandria via LeMat-Bulk.

Unit cell a=3.6596 b=8.1436 c=8.9883 alpha=111.59 beta=90.00 gamma=102.90
Closest atoms and distances in Å follow each position.
Space group P-1 (No. 2)
Asymmetric unit:
La  0.2146  0.4292  0.1441 x2  5 Pm 3.64-3.69, 3 Tb 3.66-3.69, 4 La 3.66-3.68
Tb  0.0701  0.1395  0.7121 x2  6 Pm 3.60-3.67, 3 Tb 3.61-3.66, 3 La 3.66-3.69
Pm  0.3592  0.7180  0.5702 x2  4 Tb 3.60-3.64, 3 La 3.65-3.69, 5 Pm 3.66-3.69
Pm  0.5000  0.0000  0.0000 x1  4 La 3.64-3.65, 4 Pm 3.66, 4 Tb 3.66-3.67

Total magnetic moment (μB per atom): 0.000
E_tot (Ha/atom): -0.1745
Energy of formation from the pure elements (eV/atom): 0.0190


[12]
The following is a GGA-PBE calculation of a geometry-optimized La2Tb8Pm structure, from Alexandria via LeMat-Bulk.

Unit cell a=19.0503 b=7.1147 c=5.6284 alpha=90.00 beta=92.63 gamma=90.00
Closest atoms and distances in Å follow each position.
Space group C2/m (No. 12)
Asymmetric unit:
La  0.2152  0.0000  0.2567 x4  9 Tb 3.26-3.62
Tb  0.0441  0.0000  0.2386 x4  2 Tb 3.10-3.45, 1 La 3.26
Tb  0.1288  0.2323  0.7354 x8  5 Tb 3.31-3.69, 1 Pm 3.49, 3 La 3.53-3.69
Tb  0.1844  0.5000  0.2326 x4  4 La 3.38-3.61, 4 Tb 3.51-3.61, 1 Pm 3.69
Pm  0.0000  0.5000  0.0000 x2  10 Tb 3.49-3.88

Total magnetic moment (μB per atom): 0.000
E_tot (Ha/atom): -0.1663
Energy of formation from the pure elements (eV/atom): 0.1693